The following is a DFT calculation (PBE) of Na2GaBr after structural relaxation.

- space-group type = I-42d

Unit cell a=8.1487 b=8.1487 c=6.7428 alpha=52.82 beta=52.82 gamma=90.00
Closest atoms and distances in Å follow each position.
Sites, in units of the cell vectors:
Br 0.0000 0.0000 0.0000  4 Na 2.86
Na 0.3750 0.3474 0.7500  2 Br 2.86, 2 Ga 3.17
Br 0.7500 0.2500 0.5000  4 Na 2.86
Na 0.8750 0.9026 0.7500  2 Br 2.86, 2 Ga 3.17
Na 0.6526 0.1250 0.2500  2 Br 2.86, 2 Ga 3.17
Ga 0.5000 0.5000 0.0000  4 Na 3.17, 2 Br 3.50
Na 0.0974 0.6250 0.2500  2 Br 2.86, 2 Ga 3.17
Ga 0.2500 0.7500 0.5000  4 Na 3.17, 2 Br 3.50

=====

The following is a DFT calculation (PBE) of NaGa6Br12 after structural relaxation.

- space-group type = R-3

Unit cell a=10.1993 b=10.1992 c=10.1993 alpha=109.68 beta=109.69 gamma=109.68
Closest atoms and distances in Å follow each position.
Sites, in units of the cell vectors:
Ga 0.7220 0.5989 0.5154  3 Br 2.37-2.65
Ga 0.4011 0.4846 0.2780  3 Br 2.37-2.65
Br 0.8468 0.6748 0.9719  1 Ga 2.37
Na 0.0000 0.0000 0.0000  6 Br 3.01
Br 0.2176 0.6275 0.5466  2 Ga 2.52-2.65
Br 0.3725 0.4534 0.7824  2 Ga 2.52-2.65
Ga 0.5154 0.7220 0.5989  3 Br 2.37-2.65
Br 0.6275 0.5466 0.2176  2 Ga 2.52-2.65
Br 0.4534 0.7824 0.3725  2 Ga 2.52-2.65
Br 0.7824 0.3725 0.4534  2 Ga 2.52-2.65
Br 0.0281 0.1532 0.3252  1 Ga 2.37
Ga 0.4846 0.2780 0.4011  3 Br 2.37-2.65
Ga 0.2780 0.4011 0.4846  3 Br 2.37-2.65
Br 0.1532 0.3252 0.0281  1 Ga 2.37
Br 0.3252 0.0281 0.1532  1 Ga 2.37
Br 0.9719 0.8468 0.6748  1 Ga 2.37
Ga 0.5989 0.5154 0.7220  3 Br 2.37-2.65
Br 0.5466 0.2176 0.6275  2 Ga 2.52-2.65
Br 0.6748 0.9719 0.8468  1 Ga 2.37

=====

The following is a DFT calculation (PBE) of Na2GaBr5 after structural relaxation.

- space-group type = Pnnm

Unit cell a=8.5954 b=11.9105 c=12.5186 alpha=90.00 beta=90.00 gamma=90.00
Closest atoms and distances in Å follow each position.
Sites, in units of the cell vectors:
Br 0.5000 0.6202 0.6168  3 Na 2.71-2.78
Br 0.2219 0.7763 0.8420  1 Ga 2.37
Ga 0.0000 0.7481 0.7333  4 Br 2.37-2.39
Br 0.0000 0.5658 0.6565  1 Ga 2.38
Br 0.0000 0.8798 0.1168  3 Na 2.71-2.78
Br 0.5000 0.6187 0.0904  1 Ga 2.39
Ga 0.5000 0.7519 0.2333  4 Br 2.37-2.39
Na 0.5000 0.3809 0.1671  2 Br 2.71-2.99
Br 0.7219 0.7237 0.3420  1 Ga 2.37
Br 0.0000 0.4342 0.3435  1 Ga 2.38
Br 0.0000 0.1187 0.4096  1 Ga 2.39
Br 0.2219 0.2237 0.1580  1 Ga 2.37
Br 0.2781 0.2763 0.6580  1 Ga 2.37
Na 0.7190 0.5000 0.5000  2 Br 2.78
Ga 0.0000 0.2519 0.2667  4 Br 2.37-2.39
Br 0.2781 0.7237 0.3420  1 Ga 2.37
Na 0.2810 0.5000 0.5000  2 Br 2.78
Br 0.7781 0.7763 0.8420  1 Ga 2.37
Na 0.7810 0.0000 0.0000  2 Br 2.78
Br 0.0000 0.8813 0.5904  1 Ga 2.39
Br 0.5000 0.3798 0.3832  3 Na 2.71-2.78
Br 0.7781 0.2237 0.1580  1 Ga 2.37
Br 0.0000 0.1202 0.8832  3 Na 2.71-2.78
Br 0.5000 0.0658 0.8435  1 Ga 2.38
Br 0.5000 0.9342 0.1565  1 Ga 2.38
Na 0.0000 0.8809 0.3329  2 Br 2.71-2.99
Na 0.0000 0.1191 0.6671  2 Br 2.71-2.99
Br 0.7219 0.2763 0.6580  1 Ga 2.37
Na 0.2190 0.0000 0.0000  2 Br 2.78
Ga 0.5000 0.2481 0.7667  4 Br 2.37-2.39
Br 0.5000 0.3813 0.9096  1 Ga 2.39
Na 0.5000 0.6191 0.8329  2 Br 2.71-2.99

=====

The following is a DFT calculation (PBE) of Na2GaBr6 after structural relaxation.

- space-group type = P2_1/c

Unit cell a=7.2594 b=7.7860 c=9.6486 alpha=90.00 beta=93.81 gamma=90.00
Closest atoms and distances in Å follow each position.
Sites, in units of the cell vectors:
Ga 0.5000 0.5000 0.0000  6 Br 2.52-2.60
Na 0.5301 0.8878 0.7184  6 Br 3.01-3.25
Br 0.1593 0.2816 0.4326  1 Ga 2.58
Br 0.1520 0.0405 0.7398  1 Ga 2.52
Br 0.2835 0.8233 0.4300  1 Ga 2.60
Br 0.8480 0.9595 0.2602  1 Ga 2.52
Br 0.7165 0.1767 0.5700  1 Ga 2.60
Br 0.6593 0.2184 0.9326  1 Ga 2.58
Br 0.3480 0.5405 0.7602  1 Ga 2.52
Br 0.6520 0.4595 0.2398  1 Ga 2.52
Na 0.9699 0.3878 0.7816  6 Br 3.01-3.25
Br 0.8407 0.7184 0.5674  1 Ga 2.58
Na 0.0301 0.6122 0.2184  6 Br 3.01-3.25
Br 0.2165 0.3233 0.0700  1 Ga 2.60
Br 0.3407 0.7816 0.0674  1 Ga 2.58
Br 0.7835 0.6767 0.9300  1 Ga 2.60
Ga 0.0000 0.0000 0.5000  6 Br 2.52-2.60
Na 0.4699 0.1122 0.2816  6 Br 3.01-3.25

=====

The following is a DFT calculation (PBE) of NaGa3Br after structural relaxation.

- space-group type = Pm-3m

Unit cell a=5.4398 b=5.4398 c=5.4398 alpha=90.00 beta=90.00 gamma=90.00
Closest atoms and distances in Å follow each position.
Sites, in units of the cell vectors:
Na 0.0000 0.0000 0.0000  6 Ga 2.72
Ga 0.0000 0.5000 0.0000  2 Na 2.72
Ga 0.5000 0.0000 0.0000  2 Na 2.72
Ga 0.0000 0.0000 0.5000  2 Na 2.72
Br 0.5000 0.5000 0.5000  12 Ga 3.85

=====

The following is a DFT calculation (PBE) of Na2GaBr after structural relaxation.

- space-group type = Fm-3m

Unit cell a=5.3978 b=5.3978 c=5.3978 alpha=60.00 beta=60.00 gamma=60.00
Closest atoms and distances in Å follow each position.
Sites, in units of the cell vectors:
Ga 0.0000 0.0000 0.0000  8 Na 3.31
Na 0.2500 0.2500 0.2500  4 Br 3.31, 4 Ga 3.31
Na 0.7500 0.7500 0.7500  4 Br 3.31, 4 Ga 3.31
Br 0.5000 0.5000 0.5000  8 Na 3.31

=====

The following is a DFT calculation (PBE) of Na3GaBr4 after structural relaxation.

- space-group type = Cmmm

Unit cell a=4.3085 b=7.5055 c=7.5055 alpha=70.66 beta=89.99 gamma=89.99
Closest atoms and distances in Å follow each position.
Sites, in units of the cell vectors:
Br 0.0000 0.7606 0.7395  4 Na 2.99-3.06, 2 Ga 3.12
Br 0.0000 0.2396 0.2604  4 Na 2.99-3.06, 2 Ga 3.12
Ga 0.5000 0.5001 0.0000  6 Br 3.12
Br 0.4999 0.2451 0.7449  5 Na 3.00-3.06, 1 Ga 3.12
Na 0.5000 0.0001 0.5000  6 Br 2.99-3.00
Br 0.5000 0.7552 0.2550  5 Na 3.00-3.06, 1 Ga 3.12
Na 0.9999 0.0001 0.0000  6 Br 3.06
Na 0.0000 0.5001 0.5000  6 Br 3.06

=====

The following is a DFT calculation (PBE) of NaNpGaBr6 after structural relaxation.

- space-group type = P4_2nm

Unit cell a=7.0175 b=7.0175 c=13.2063 alpha=90.00 beta=90.00 gamma=90.00
Closest atoms and distances in Å follow each position.
Sites, in units of the cell vectors:
Na 0.5000 0.5000 0.1678  6 Br 3.02-3.07
Br 0.6913 0.6913 0.6792  1 Np 2.79, 1 Ga 3.03, 1 Na 3.07
Br 0.6900 0.6900 0.9893  1 Np 2.79, 1 Na 3.02, 1 Ga 3.08
Ga 0.0000 0.0000 0.0008  6 Br 3.03-3.13
Np 0.0000 0.0000 0.3339  6 Br 2.79
Ga 0.5000 0.5000 0.5008  6 Br 3.03-3.13
Br 0.2809 0.2809 0.3302  1 Np 2.79, 1 Na 3.05
Br 0.7191 0.7191 0.3302  1 Np 2.79, 1 Na 3.05
Na 0.0000 0.0000 0.6678  6 Br 3.02-3.07
Br 0.8087 0.1913 0.1792  1 Np 2.79, 1 Ga 3.03, 1 Na 3.07
Br 0.2191 0.7809 0.8302  1 Np 2.79, 1 Na 3.05
Br 0.3087 0.3087 0.6792  1 Np 2.79, 1 Ga 3.03, 1 Na 3.07
Br 0.7809 0.2191 0.8302  1 Np 2.79, 1 Na 3.05
Br 0.1913 0.8087 0.1792  1 Np 2.79, 1 Ga 3.03, 1 Na 3.07
Np 0.5000 0.5000 0.8339  6 Br 2.79
Br 0.8100 0.1900 0.4893  1 Np 2.79, 1 Na 3.02, 1 Ga 3.08
Br 0.1900 0.8100 0.4893  1 Np 2.79, 1 Na 3.02, 1 Ga 3.08
Br 0.3100 0.3100 0.9893  1 Np 2.79, 1 Na 3.02, 1 Ga 3.08

=====

Number 1: E_tot -2.2798 eV/atom, formation energy (no corrections) -0.45 eV per atom. Number 2: E_tot -2.7365 eV/atom, formation energy (no corrections) -0.65 eV per atom. Number 3: E_tot -2.9087 eV/atom, formation energy (no corrections) -1.16 eV per atom. Number 4: E_tot -2.6598 eV/atom, formation energy (no corrections) -0.92 eV per atom. Number 5: E_tot -2.0025 eV/atom, formation energy (no corrections) 0.41 eV per atom. Number 6: E_tot -2.1506 eV/atom, formation energy (no corrections) -0.32 eV per atom. Number 7: E_tot -3.0055 eV/atom, formation energy (no corrections) -1.30 eV per atom. Number 8: E_tot -4.1959 eV/atom, formation energy (no corrections) -1.16 eV per atom.